No. 1
{
  "formula": "Sm3Ta17O47",
  "functional": "meta-GGA SCAN",
  "state": "PBEsol geometry",
  "e_tot_ev_per_atom": -26.424,
  "formation_energy_uncorrected_mev_per_atom": -3168,
  "rho_g_cm3": 7.709,
  "spacegroup": "P2/m",
  "cell": [[-3.2318, -0.4037, 2.1051], [0.6123, -12.5857, -1.4733], [10.1079, 2.9545, 16.0840]],
  "species": ["O", "O", "O", "O", "O", "O", "O", "O", "O", "O", "O", "O", "O", "Ta", "O", "O", "O", "Ta", "O", "O", "O", "Sm", "O", "Ta", "O", "O", "O", "Sm", "Ta", "O", "Ta", "O", "Ta", "Ta", "O", "O", "O", "Ta", "O", "Ta", "O", "Ta", "Ta", "O", "Ta", "O", "O", "O", "Ta", "O", "O", "O", "Ta", "O", "Ta", "O", "O", "O", "O", "O", "Ta", "O", "Ta", "O", "O", "Sm", "O"],
  "fractional_positions": [[0.0000, 0.0873, 0.9644], [0.0000, 0.6043, 0.7345], [0.0000, 0.9127, 0.0356], [0.5000, 0.4333, 0.3673], [0.0000, 0.8559, 0.1922], [0.0000, 0.2355, 0.6222], [0.0000, 0.6249, 0.5367], [0.0000, 0.3267, 0.1371], [0.5000, 0.0288, 0.8737], [0.5000, 0.2216, 0.7215], [0.0000, 0.6733, 0.8629], [0.5000, 0.7784, 0.2785], [0.0000, 0.9496, 0.3344], [0.0000, 0.8070, 0.2819], [0.5000, 0.7083, 0.4570], [0.0000, 0.7490, 0.6734], [0.0000, 0.3669, 0.7439], [0.0000, 0.7216, 0.4715], [0.0000, 0.4290, 0.6092], [0.0000, 0.5710, 0.3908], [0.5000, 0.5023, 0.7886], [0.5000, 0.3768, 0.6675], [0.0000, 0.0784, 0.2366], [0.0000, 0.5000, 0.0000], [0.0000, 0.0504, 0.6656], [0.0000, 0.8779, 0.8842], [0.5000, 0.1066, 0.3493], [0.5000, 0.6232, 0.3325], [0.0000, 0.2345, 0.2160], [0.5000, 0.5667, 0.6327], [0.0000, 0.4897, 0.1917], [0.0000, 0.6600, 0.0039], [0.0000, 0.8952, 0.6489], [0.0000, 0.7722, 0.9578], [0.5000, 0.8028, 0.9615], [0.5000, 0.9712, 0.1263], [0.5000, 0.2317, 0.2136], [0.0000, 0.5103, 0.8083], [0.0000, 0.8467, 0.5457], [0.0000, 0.1048, 0.3511], [0.0000, 0.2510, 0.3266], [0.0000, 0.4119, 0.3738], [0.0000, 0.5881, 0.6262], [0.0000, 0.1221, 0.1158], [0.0000, 0.9737, 0.1454], [0.0000, 0.3957, 0.2655], [0.0000, 0.1533, 0.4543], [0.5000, 0.7683, 0.7864], [0.0000, 0.0263, 0.8546], [0.0000, 0.1441, 0.8078], [0.0000, 0.3400, 0.9961], [0.0000, 0.5268, 0.1045], [0.0000, 0.2784, 0.5285], [0.5000, 0.4977, 0.2114], [0.0000, 0.2278, 0.0422], [0.5000, 0.8934, 0.6507], [0.0000, 0.4732, 0.8955], [0.0000, 0.9216, 0.7634], [0.5000, 0.2917, 0.5430], [0.0000, 0.3751, 0.4633], [0.0000, 0.7655, 0.7840], [0.5000, 0.1972, 0.0385], [0.0000, 0.1930, 0.7181], [0.0000, 0.6331, 0.2561], [0.5000, 0.5000, 0.0000], [0.5000, 0.0000, 0.0000], [0.0000, 0.7645, 0.3778]]
}



No. 2
{
  "formula": "GaNiH2",
  "functional": "meta-GGA SCAN",
  "state": "PBEsol geometry",
  "e_tot_ev_per_atom": -9.143,
  "rho_g_cm3": 6.786,
  "spacegroup": "Fm-3m",
  "cell": [[3.5605, 0.0000, 0.0000], [1.7802, 3.0834, 0.0000], [1.7802, 1.0278, 2.9071]],
  "species": ["Ni", "Ga", "H", "H"],
  "fractional_positions": [[0.0000, 0.0000, 0.0000], [0.5000, 0.5000, 0.5000], [0.7500, 0.7500, 0.7500], [0.2500, 0.2500, 0.2500]]
}



Please write out number 1 again, unchanged.
{
  "formula": "Sm3Ta17O47",
  "functional": "meta-GGA SCAN",
  "state": "PBEsol geometry",
  "e_tot_ev_per_atom": -26.424,
  "formation_energy_uncorrected_mev_per_atom": -3168,
  "rho_g_cm3": 7.709,
  "spacegroup": "P2/m",
  "cell": [[-3.2318, -0.4037, 2.1051], [0.6123, -12.5857, -1.4733], [10.1079, 2.9545, 16.0840]],
  "species": ["O", "O", "O", "O", "O", "O", "O", "O", "O", "O", "O", "O", "O", "Ta", "O", "O", "O", "Ta", "O", "O", "O", "Sm", "O", "Ta", "O", "O", "O", "Sm", "Ta", "O", "Ta", "O", "Ta", "Ta", "O", "O", "O", "Ta", "O", "Ta", "O", "Ta", "Ta", "O", "Ta", "O", "O", "O", "Ta", "O", "O", "O", "Ta", "O", "Ta", "O", "O", "O", "O", "O", "Ta", "O", "Ta", "O", "O", "Sm", "O"],
  "fractional_positions": [[0.0000, 0.0873, 0.9644], [0.0000, 0.6043, 0.7345], [0.0000, 0.9127, 0.0356], [0.5000, 0.4333, 0.3673], [0.0000, 0.8559, 0.1922], [0.0000, 0.2355, 0.6222], [0.0000, 0.6249, 0.5367], [0.0000, 0.3267, 0.1371], [0.5000, 0.0288, 0.8737], [0.5000, 0.2216, 0.7215], [0.0000, 0.6733, 0.8629], [0.5000, 0.7784, 0.2785], [0.0000, 0.9496, 0.3344], [0.0000, 0.8070, 0.2819], [0.5000, 0.7083, 0.4570], [0.0000, 0.7490, 0.6734], [0.0000, 0.3669, 0.7439], [0.0000, 0.7216, 0.4715], [0.0000, 0.4290, 0.6092], [0.0000, 0.5710, 0.3908], [0.5000, 0.5023, 0.7886], [0.5000, 0.3768, 0.6675], [0.0000, 0.0784, 0.2366], [0.0000, 0.5000, 0.0000], [0.0000, 0.0504, 0.6656], [0.0000, 0.8779, 0.8842], [0.5000, 0.1066, 0.3493], [0.5000, 0.6232, 0.3325], [0.0000, 0.2345, 0.2160], [0.5000, 0.5667, 0.6327], [0.0000, 0.4897, 0.1917], [0.0000, 0.6600, 0.0039], [0.0000, 0.8952, 0.6489], [0.0000, 0.7722, 0.9578], [0.5000, 0.8028, 0.9615], [0.5000, 0.9712, 0.1263], [0.5000, 0.2317, 0.2136], [0.0000, 0.5103, 0.8083], [0.0000, 0.8467, 0.5457], [0.0000, 0.1048, 0.3511], [0.0000, 0.2510, 0.3266], [0.0000, 0.4119, 0.3738], [0.0000, 0.5881, 0.6262], [0.0000, 0.1221, 0.1158], [0.0000, 0.9737, 0.1454], [0.0000, 0.3957, 0.2655], [0.0000, 0.1533, 0.4543], [0.5000, 0.7683, 0.7864], [0.0000, 0.0263, 0.8546], [0.0000, 0.1441, 0.8078], [0.0000, 0.3400, 0.9961], [0.0000, 0.5268, 0.1045], [0.0000, 0.2784, 0.5285], [0.5000, 0.4977, 0.2114], [0.0000, 0.2278, 0.0422], [0.5000, 0.8934, 0.6507], [0.0000, 0.4732, 0.8955], [0.0000, 0.9216, 0.7634], [0.5000, 0.2917, 0.5430], [0.0000, 0.3751, 0.4633], [0.0000, 0.7655, 0.7840], [0.5000, 0.1972, 0.0385], [0.0000, 0.1930, 0.7181], [0.0000, 0.6331, 0.2561], [0.5000, 0.5000, 0.0000], [0.5000, 0.0000, 0.0000], [0.0000, 0.7645, 0.3778]]
}